{
  "formula": "Ac2Zn5Rh3",
  "functional": "PBE",
  "state": "relaxed",
  "spacegroup": "Ibam (72)",
  "formation_enthalpy_0k_ev_per_atom": -0.48,
  "final_energy_ev_per_cell": -82.95,
  "dos_ef_per_ev_cell": 10.57,
  "lattice_angstrom": [[-3.6589, 1.0935, -4.8694], [1.9311, -5.3087, -6.5754], [-6.5804, -5.6375, -0.2536]],
  "species": ["Rh", "Rh", "Rh", "Rh", "Rh", "Rh", "Ac", "Ac", "Ac", "Ac", "Zn", "Zn", "Zn", "Zn", "Zn", "Zn", "Zn", "Zn", "Zn", "Zn"],
  "frac_coords": [[0.2500, 0.0000, 0.0000], [0.8812, 0.7623, 0.4754], [0.6188, 0.5246, 0.2377], [0.3812, 0.4754, 0.7623], [0.1188, 0.2377, 0.5246], [0.7500, 0.0000, 0.0000], [0.6218, 0.1112, 0.6452], [0.1218, 0.6452, 0.1112], [0.8782, 0.3548, 0.8888], [0.3782, 0.8888, 0.3548], [0.6306, 0.7532, 0.9855], [0.7500, 0.5000, 0.5000], [0.0204, 0.7296, 0.7296], [0.8694, 0.0145, 0.2468], [0.3694, 0.2468, 0.0145], [0.5204, 0.7296, 0.7296], [0.4796, 0.2704, 0.2704], [0.9796, 0.2704, 0.2704], [0.1306, 0.9855, 0.7532], [0.2500, 0.5000, 0.5000]]
}